[1]
CaCr2Ru | Alexandria | PBE | optimized geometry; calculated total energy = -0.5257 Ry/atom; formation energy from the elements = 478 meV/atom; polymorph energy (0 for the lowest one) = 104 meV/atom; calculated density = 5.72 Mg/m³; space-group type = No. 12; DOS at the Fermi energy = 3.28 states/eV/cell; crystal system = monoclinic
1.0
-4.422 2.143 0.466
-4.646 0.024 -1.665
-2.465 -3.096 3.337
Ru Ca Cr
1 1 2
Cartesian
-8.650 -0.697 1.603
-2.883 -0.232 0.534
-2.472 -2.635 2.880
-5.759 -0.925 1.525

[2]
Ni5Pt6 | Alexandria | PBE | optimized geometry; calculated total energy = -0.4361 Ry/atom; formation energy from the elements = -10 meV/atom; polymorph energy (0 for the lowest one) = 49 meV/atom; calculated density = 15.45 Mg/m³; space-group type = No. 10; DOS at the Fermi energy = 17.18 states/eV/cell; crystal system = monoclinic
1.0
4.369 0.000 0.902
0.000 5.449 0.000
-0.789 0.000 6.447
Ni Pt
5 6
Cartesian
0.000 2.724 0.000
1.217 0.000 2.456
2.363 0.000 4.894
2.374 2.725 4.896
1.207 2.725 2.453
1.396 1.341 6.898
2.185 4.108 0.451
0.171 1.348 4.477
0.171 4.102 4.477
3.409 4.102 2.872
3.409 1.347 2.872

- Number 2 is which compound?
  Ni5Pt6

- What is the polymorph energy (0 for the lowest one) in the second record?
  49 meV/atom

- formation energy from the elements of number 2 (Ni5Pt6)?
  -10 meV/atom